Entry 1:
A geometry-optimized Nd2ErTe2N2 structure, computed with GGA-PBE.

Computed properties:
**SG**: I4/mmm, No. 139
**Uncorrected formation energy**: -1.242 eV/atom
**Density of states at the Fermi level**: 3.23 states/eV per cell
**Size of the total moment**: 0.0000 μB per atom
**VASP energy**: -6.532 eV/atom

Cell: 4.4058 4.4058 8.7867 Å, 104.52 104.52 90.00°
With the nearest neighbours (Å) after each atom.
Element x y z (fractional)
N1 0.0000 0.5000 0.0000  2 Er 2.20
N2 0.5000 0.0000 0.0000  2 Er 2.20
Nd1 0.3975 0.3975 0.7950  4 N 2.77
Nd2 0.6025 0.6025 0.2050  4 N 2.77
Er1 0.0000 0.0000 0.0000  4 N 2.20
Te1 0.8146 0.8146 0.6291  1 Er 3.05, 4 Nd 3.40
Te2 0.1854 0.1854 0.3709  1 Er 3.05, 4 Nd 3.40

=====

Entry 2:
A geometry-optimized NdEr2ThN4 structure, computed with GGA-PBE.

Computed properties:
**SG**: P2/m, No. 10
**Uncorrected formation energy**: -1.617 eV/atom
**Density of states at the Fermi level**: 1.74 states/eV per cell
**Size of the total moment**: 0.0000 μB per atom
**VASP energy**: -8.443 eV/atom

Cell: 3.5504 6.1361 6.1349 Å, 109.33 90.00 90.00°
With the nearest neighbours (Å) after each atom.
Element x y z (fractional)
N1 0.0000 0.7606 0.2609  3 Er 2.46-2.50, 1 Th 2.51, 2 Nd 2.56
N2 0.5000 0.2479 0.2595  3 Er 2.44-2.49, 2 Th 2.53, 1 Nd 2.56
N3 0.5000 0.7521 0.7405  3 Er 2.44-2.49, 2 Th 2.53, 1 Nd 2.56
N4 0.0000 0.2394 0.7391  3 Er 2.46-2.50, 1 Th 2.51, 2 Nd 2.56
Er1 0.0000 0.5000 0.5000  6 N 2.49-2.50
Er2 0.5000 0.0000 0.5000  6 N 2.44-2.46
Nd1 0.5000 0.5000 0.0000  6 N 2.56
Th1 0.0000 0.0000 0.0000  6 N 2.51-2.53

=====

Entry 3:
A geometry-optimized Nd2ErThN4 structure, computed with GGA-PBE.

Computed properties:
**SG**: P2/m, No. 10
**Uncorrected formation energy**: -1.539 eV/atom
**Density of states at the Fermi level**: 1.78 states/eV per cell
**Size of the total moment**: 0.0000 μB per atom
**VASP energy**: -8.392 eV/atom

Cell: 3.6093 6.2166 6.2503 Å, 109.28 90.00 90.00°
With the nearest neighbours (Å) after each atom.
Element x y z (fractional)
N1 0.5000 0.7556 0.7652  1 Th 2.49, 2 Er 2.50, 3 Nd 2.59-2.61
N2 0.0000 0.2522 0.7645  1 Er 2.48, 2 Th 2.51, 3 Nd 2.60-2.61
N3 0.0000 0.7478 0.2355  1 Er 2.48, 2 Th 2.51, 3 Nd 2.60-2.61
N4 0.5000 0.2444 0.2348  1 Th 2.49, 2 Er 2.50, 3 Nd 2.59-2.61
Nd1 0.0000 0.5000 0.5000  6 N 2.61
Nd2 0.5000 0.0000 0.5000  6 N 2.59-2.60
Er1 0.0000 0.0000 0.0000  6 N 2.48-2.50
Th1 0.5000 0.5000 0.0000  6 N 2.49-2.51

=====

Entry 4:
A geometry-optimized NdEr2TiN4 structure, computed with GGA-PBE.

Computed properties:
**SG**: Cmcm, No. 63
**Uncorrected formation energy**: -1.503 eV/atom
**Density of states at the Fermi level**: 5.48 states/eV per cell
**Size of the total moment**: 0.0000 μB per atom
**VASP energy**: -8.390 eV/atom

Cell: 3.4003 6.1186 11.7858 Å, 90.00 90.00 106.13°
With the nearest neighbours (Å) after each atom.
Element x y z (fractional)
N1 0.4306 0.8611 0.7500  2 Ti 2.04
N2 0.7381 0.4761 0.8779  1 Ti 1.89
N3 0.7381 0.4761 0.6221  1 Ti 1.89
N4 0.2619 0.5239 0.3779  1 Ti 1.89
N5 0.0000 0.0000 0.0000  4 Er 2.33
N6 0.2619 0.5239 0.1221  1 Ti 1.89
N7 0.0000 0.0000 0.5000  4 Er 2.33
N8 0.5694 0.1389 0.2500  2 Ti 2.04
Nd1 0.0970 0.1939 0.7500  6 N 2.59-2.81
Nd2 0.9030 0.8061 0.2500  6 N 2.59-2.81
Er1 0.6294 0.2589 0.4609  5 N 2.29-2.50
Er2 0.6294 0.2589 0.0391  5 N 2.29-2.50
Er3 0.3706 0.7411 0.9609  5 N 2.29-2.50
Er4 0.3706 0.7411 0.5391  5 N 2.29-2.50
Ti1 0.1656 0.3313 0.2500  4 N 1.89-2.04
Ti2 0.8344 0.6687 0.7500  4 N 1.89-2.04

=====

Entry 5:
A geometry-optimized Nd2ErTlN structure, computed with GGA-PBE.

Computed properties:
**SG**: P4/mmm, No. 123
**Uncorrected formation energy**: -0.849 eV/atom
**Density of states at the Fermi level**: 2.28 states/eV per cell
**Size of the total moment**: 0.0000 μB per atom
**VASP energy**: -5.807 eV/atom

Cell: 4.7643 5.0535 5.0535 Å, 90.00 90.00 90.00°
With the nearest neighbours (Å) after each atom.
Element x y z (fractional)
Nd1 0.0000 0.5000 0.0000  2 N 2.53
Nd2 0.0000 0.0000 0.5000  2 N 2.53
Er1 0.5000 0.0000 0.0000  2 N 2.38
N1 0.0000 0.0000 0.0000  2 Er 2.38, 4 Nd 2.53
Tl1 0.5000 0.5000 0.5000  8 Nd 3.47, 4 Er 3.57

=====

Entry 6:
A geometry-optimized NdEr2TlN structure, computed with GGA-PBE.

Computed properties:
**SG**: P4/mmm, No. 123
**Uncorrected formation energy**: -0.890 eV/atom
**Density of states at the Fermi level**: 2.42 states/eV per cell
**Size of the total moment**: 0.0000 μB per atom
**VASP energy**: -5.807 eV/atom

Cell: 5.0216 4.7884 4.7884 Å, 90.00 90.00 90.00°
With the nearest neighbours (Å) after each atom.
Element x y z (fractional)
Nd1 0.5000 0.0000 0.0000  2 N 2.51
N1 0.0000 0.0000 0.0000  4 Er 2.39, 2 Nd 2.51
Er1 0.0000 0.5000 0.0000  2 N 2.39
Er2 0.0000 0.0000 0.5000  2 N 2.39
Tl1 0.5000 0.5000 0.5000  4 Nd 3.39, 8 Er 3.47

=====

Entry 7:
A geometry-optimized Nd2ErUN4 structure, computed with GGA-PBE.

Computed properties:
**SG**: P2/m, No. 10
**Uncorrected formation energy**: -1.511 eV/atom
**Density of states at the Fermi level**: 5.09 states/eV per cell
**Size of the total moment**: 0.0342 μB per atom
**VASP energy**: -8.847 eV/atom

Cell: 3.5297 6.0177 6.1579 Å, 108.89 90.00 90.00°
With the nearest neighbours (Å) after each atom.
Element x y z (fractional)
U1 0.0000 0.0000 0.0000  6 N 2.25-2.35
Nd1 0.5000 0.0000 0.5000  6 N 2.56-2.58
Nd2 0.0000 0.5000 0.5000  6 N 2.66-2.71
N1 0.0000 0.7598 0.2139  1 U 2.25, 2 Er 2.44
N2 0.0000 0.2402 0.7861  1 U 2.25, 2 Er 2.44
N3 0.5000 0.7742 0.7887  2 U 2.35, 1 Er 2.41, 1 Nd 2.56
N4 0.5000 0.2258 0.2113  2 U 2.35, 1 Er 2.41, 1 Nd 2.56
Er1 0.5000 0.5000 0.0000  6 N 2.41-2.44

=====

Entry 8:
A geometry-optimized NdEr2VN4 structure, computed with GGA-PBE.

Computed properties:
**SG**: Cmcm, No. 63
**Uncorrected formation energy**: -1.399 eV/atom
**Density of states at the Fermi level**: 6.29 states/eV per cell
**Size of the total moment**: 0.0209 μB per atom
**VASP energy**: -8.438 eV/atom

Cell: 3.3716 6.0823 11.6555 Å, 90.00 90.00 106.09°
With the nearest neighbours (Å) after each atom.
Element x y z (fractional)
N1 0.7367 0.4734 0.6233  1 V 1.81
N2 0.4222 0.8443 0.7500  2 V 2.03
N3 0.2633 0.5266 0.3767  1 V 1.81
N4 0.2633 0.5266 0.1233  1 V 1.81
N5 0.7367 0.4734 0.8767  1 V 1.81
N6 0.5778 0.1557 0.2500  2 V 2.03
N7 0.0000 0.0000 0.5000  4 Er 2.32
N8 0.0000 0.0000 0.0000  4 Er 2.32
Nd1 0.0851 0.1703 0.7500  2 N 2.54
Nd2 0.9149 0.8297 0.2500  2 N 2.54
Er1 0.6293 0.2587 0.4578  6 N 2.30-2.50
Er2 0.6293 0.2587 0.0422  6 N 2.30-2.50
Er3 0.3707 0.7413 0.9578  6 N 2.30-2.50
Er4 0.3707 0.7413 0.5422  6 N 2.30-2.50
V1 0.8255 0.6511 0.7500  2 N 1.81
V2 0.1745 0.3489 0.2500  2 N 1.81